A relaxed structure of ErScCu4. Source: Alexandria, functional PBE-GGA.

Calculated values
Formation energy from the elements ... -0.228 eV per atom
Crystal system ... triclinic
E_tot ... -4.7742 eV/atom
Offset from the most stable computed form ... 15 kJ/mol of formula units
Spin magnetization ... 0.00 μB/f.u.

a = 3.3828 Å, b = 4.8720 Å, c = 6.7911 Å
α = 109.84°, β = 90.09°, γ = 110.31°
Space group P-1 (No. 2)
Symmetry-distinct sites (fractional):
1 Er 0.0000 0.0000 0.0000
2 Sc 0.0000 0.0000 0.5000
3 Cu 0.3248 0.6491 0.6510
4 Cu 0.3262 0.6548 0.1802